No. 1
A geometry-optimized TcRu2Se structure, computed with PBE.

Properties
- final energy (eV/f.u.) = -31.35
- formation energy (no corrections) (meV per atom) = 262.2

a b c (Å): 9.3211 2.8811 4.4607
angles (deg): 90.00 92.44 90.00
Space group C2/m (No. 12)
One atom of each set of equivalent atoms:
1 Tc 0.0000 0.0000 0.0000 x2
2 Ru 0.2252 0.5000 0.2343 x4
3 Se 0.0000 0.5000 0.5000 x2

No. 2
A geometry-optimized HoZnInF6 structure, computed with PBE.

Properties
- final energy (eV/f.u.) = -46.27
- formation energy (no corrections) (meV per atom) = -2939.4

a b c (Å): 5.7749 5.7749 5.7604
angles (deg): 90.00 90.00 120.00
Space group P312 (No. 149)
One atom of each set of equivalent atoms:
1 Ho 0.0000 0.0000 0.0000 x1
2 Zn 0.3333 0.6667 0.0000 x1
3 In 0.6667 0.3333 0.5000 x1
4 F 0.0542 0.3466 0.1983 x6

No. 3
A geometry-optimized DyFe2 structure, computed with PBE.

Properties
- final energy (eV/f.u.) = -21.10
- energy of formation (eV per formula unit) = 0.430

a b c (Å): 3.2318 3.2318 9.9333
angles (deg): 90.00 90.00 90.00
Space group I4/mmm (No. 139)
One atom of each set of equivalent atoms:
1 Dy 0.0000 0.0000 0.0000 x2
2 Fe 0.0000 0.0000 0.3007 x4

No. 4
A geometry-optimized BeTcOs2 structure, computed with PBE.

Properties
- final energy (eV/f.u.) = -36.62
- energy of formation (eV per formula unit) = -0.069

a b c (Å): 2.8117 4.3507 8.4242
angles (deg): 90.00 90.00 90.00
Space group Immm (No. 71)
One atom of each set of equivalent atoms:
1 Be 0.0000 0.0000 0.0000 x2
2 Tc 0.0000 0.0000 0.5000 x2
3 Os 0.0000 0.5000 0.2799 x4